A.
## YRu2Br (PBE)

Data for YRu2Br after structural relaxation.

Calculated values
V	72	Å³/cell
D(E_F)	3.81	states/eV/cell
M_tot	0.000	μB per atom

Cell lengths 5.350, 5.350, 5.350 Å; angles 136.25, 136.25, 63.60 degrees
Atoms (fractional coordinates):
Y (0.500, 0.500, 0.000)
Ru (0.000, 0.000, 0.000)
Ru (0.250, 0.750, 0.500)
Br (0.750, 0.250, 0.500)

***

B.
## YRu2Br (PBE)

Data for YRu2Br after structural relaxation.

Calculated values
V	72	Å³/cell
D(E_F)	5.62	states/eV/cell
M_tot	0.000	μB per atom

Cell lengths 4.680, 4.680, 4.680 Å; angles 60.00, 60.00, 60.00 degrees
Atoms (fractional coordinates):
Y (0.500, 0.500, 0.500)
Ru (0.250, 0.250, 0.250)
Ru (0.750, 0.750, 0.750)
Br (0.000, 0.000, 0.000)

***

C.
## YRu2Br (PBE)

Data for YRu2Br after structural relaxation.

Calculated values
V	76	Å³/cell
D(E_F)	5.53	states/eV/cell
M_tot	0.619	μB per atom

Cell lengths 4.752, 4.752, 4.752 Å; angles 60.00, 60.00, 60.00 degrees
Last column: magnetic moment on the atom in μB.
Atoms (fractional coordinates):
Y (0.750, 0.750, 0.750)  0.05
Ru (0.000, 0.000, 0.000)  1.11
Ru (0.250, 0.250, 0.250)  1.17
Br (0.500, 0.500, 0.500)  0.04

***

A is preferred energetically. Next in line: 8.4 kJ/mol of atoms higher.

***

A.
## YRu2Br (PBE)

Data for YRu2Br after structural relaxation.

Calculated values
V	88	Å³/cell
D(E_F)	3.95	states/eV/cell
M_tot	0.000	μB per atom

Cell lengths 3.372, 3.376, 7.877 Å; angles 77.59, 90.00, 90.00 degrees
Atoms (fractional coordinates):
Y (0.000, 0.577, 0.471)
Ru (0.000, 0.761, 0.104)
Ru (0.500, 0.205, 0.216)
Br (0.500, 0.957, 0.709)

***

B.
## YRu2Br (PBE)

Data for YRu2Br after structural relaxation.

Calculated values
V	73	Å³/cell
D(E_F)	5.48	states/eV/cell
M_tot	0.002	μB per atom

Cell lengths 5.563, 5.563, 3.178 Å; angles 74.67, 74.67, 119.07 degrees
Atoms (fractional coordinates):
Y (0.500, 0.000, 0.500)
Ru (0.000, 0.000, 0.000)
Ru (0.500, 0.500, 0.000)
Br (0.000, 0.500, 0.500)

***

C.
## YRu2Br (PBE)

Data for YRu2Br after structural relaxation.

Calculated values
V	157	Å³/cell
D(E_F)	10.82	states/eV/cell
M_tot	0.000	μB per atom

Cell lengths 7.562, 7.562, 6.015 Å; angles 51.05, 51.05, 90.00 degrees
Atoms (fractional coordinates):
Y (0.000, 0.000, 0.000)
Y (0.750, 0.250, 0.500)
Ru (0.563, 0.125, 0.250)
Ru (0.187, 0.625, 0.250)
Ru (0.375, 0.437, 0.750)
Ru (0.875, 0.813, 0.750)
Br (0.500, 0.500, 0.000)
Br (0.250, 0.750, 0.500)

***

A is preferred energetically. Next in line: 37.1 kJ/mol of atoms higher.

***

A.
## ZnRu2Br (PBE)

Data for ZnRu2Br after structural relaxation.

Calculated values
V	66	Å³/cell
D(E_F)	2.30	states/eV/cell
M_tot	0.000	μB per atom

Cell lengths 8.821, 8.821, 8.821 Å; angles 19.32, 19.32, 19.32 degrees
Atoms (fractional coordinates):
Br (0.744, 0.744, 0.744)
Ru (0.995, 0.995, 0.995)
Ru (0.253, 0.253, 0.253)
Zn (0.508, 0.508, 0.508)

***

B.
## ZnRu2Br (PBE)

Data for ZnRu2Br after structural relaxation.

Calculated values
V	64	Å³/cell
D(E_F)	3.91	states/eV/cell
M_tot	0.249	μB per atom

Cell lengths 2.897, 4.930, 4.476 Å; angles 90.00, 90.00, 90.00 degrees
Last column: magnetic moment on the atom in μB.
Atoms (fractional coordinates):
Br (0.000, 0.500, 0.500)  0.01
Ru (0.000, 0.000, 0.000)  0.76
Ru (0.500, 0.500, 0.000)  0.21
Zn (0.500, 0.000, 0.500)  -0.01

***

A is preferred energetically. Next in line: 30.3 kJ/mol of atoms higher.

***

A.
## ZnRu2Br (PBE)

Data for ZnRu2Br after structural relaxation.

Calculated values
V	64	Å³/cell
D(E_F)	4.95	states/eV/cell
M_tot	0.000	μB per atom

Cell lengths 5.270, 5.270, 5.270 Å; angles 148.10, 123.68, 66.20 degrees
Atoms (fractional coordinates):
Br (0.250, 0.750, 0.500)
Ru (0.009, 0.009, 0.000)
Ru (0.491, 0.491, 0.000)
Zn (0.750, 0.250, 0.500)

***

B.
## ZnRu2Br (PBE)

Data for ZnRu2Br after structural relaxation.

Calculated values
V	62	Å³/cell
D(E_F)	4.32	states/eV/cell
M_tot	0.000	μB per atom

Cell lengths 4.502, 4.502, 5.036 Å; angles 78.55, 78.55, 38.47 degrees
Atoms (fractional coordinates):
Br (0.250, 0.250, 0.250)
Ru (0.002, 0.002, 0.982)
Ru (0.498, 0.498, 0.518)
Zn (0.750, 0.750, 0.750)

***

C.
## ZnRu2Br (PBE)

Data for ZnRu2Br after structural relaxation.

Calculated values
V	63	Å³/cell
D(E_F)	5.45	states/eV/cell
M_tot	0.175	μB per atom

Cell lengths 4.864, 4.864, 4.864 Å; angles 131.70, 131.70, 70.70 degrees
Last column: magnetic moment on the atom in μB.
Atoms (fractional coordinates):
Br (0.750, 0.250, 0.500)  0.00
Ru (0.000, 0.000, 0.000)  0.38
Ru (0.250, 0.750, 0.500)  0.30
Zn (0.500, 0.500, 0.000)  0.00

***

B is preferred energetically. Next in line: 11.9 kJ/mol of atoms higher.

***

A.
## ZnRu2Br (PBE)

Data for ZnRu2Br after structural relaxation.

Calculated values
V	62	Å³/cell
D(E_F)	2.72	states/eV/cell
M_tot	0.000	μB per atom

Cell lengths 8.408, 8.408, 8.408 Å; angles 20.15, 20.15, 20.15 degrees
Atoms (fractional coordinates):
Br (0.750, 0.750, 0.750)
Ru (0.000, 0.000, 0.000)
Ru (0.500, 0.500, 0.500)
Zn (0.250, 0.250, 0.250)

***

B.
## ZnRu2Br (PBE)

Data for ZnRu2Br after structural relaxation.

Calculated values
V	66	Å³/cell
D(E_F)	4.13	states/eV/cell
M_tot	0.000	μB per atom

Cell lengths 4.292, 2.990, 5.244 Å; angles 99.13, 90.00, 90.00 degrees
Atoms (fractional coordinates):
Br (0.500, 0.750, 0.750)
Ru (0.000, 0.897, 0.036)
Ru (0.000, 0.603, 0.464)
Zn (0.500, 0.250, 0.250)

***

A is preferred energetically. Next in line: 9.0 kJ/mol of atoms higher.

***

A.
## ZnRu2Br (PBE)

Data for ZnRu2Br after structural relaxation.

Calculated values
V	64	Å³/cell
D(E_F)	4.50	states/eV/cell
M_tot	0.000	μB per atom

Cell lengths 2.938, 2.938, 8.704 Å; angles 90.00, 90.00, 121.55 degrees
Atoms (fractional coordinates):
Br (0.500, 0.500, 0.750)
Ru (0.000, 0.000, 0.004)
Ru (0.000, 0.000, 0.496)
Zn (0.500, 0.500, 0.250)

***

B.
## ZnRu2Br (PBE)

Data for ZnRu2Br after structural relaxation.

Calculated values
V	70	Å³/cell
D(E_F)	2.74	states/eV/cell
M_tot	0.000	μB per atom

Cell lengths 2.954, 2.954, 8.007 Å; angles 90.00, 90.00, 90.00 degrees
Atoms (fractional coordinates):
Br (0.500, 0.500, 0.800)
Ru (0.000, 0.000, 0.033)
Ru (0.500, 0.500, 0.232)
Zn (0.000, 0.000, 0.435)

***

C.
## ZnRu2Br (PBE)

Data for ZnRu2Br after structural relaxation.

Calculated values
V	70	Å³/cell
D(E_F)	4.04	states/eV/cell
M_tot	0.284	μB per atom

Cell lengths 2.847, 2.847, 9.995 Å; angles 90.00, 90.00, 120.28 degrees
Last column: magnetic moment on the atom in μB.
Atoms (fractional coordinates):
Br (0.500, 0.500, 0.783)  0.03
Ru (0.000, 0.000, 0.023)  0.56
Ru (0.500, 0.500, 0.236)  0.51
Zn (0.000, 0.000, 0.458)  0.00

***

B is preferred energetically. Next in line: 31.3 kJ/mol of atoms higher.